Material: Sr2RePt
Method: DFT, GGA-PBEsol
State: optimized geometry

Output
The energy of formation from the pure elements is 0.320 eV/atom. For the density of states at the Fermi level, the calculation gives 0.733 states/eV/atom. Its polymorph energy (0 for the lowest one) is 0.00 eV per formula unit.

a = 4.3212 Å, b = 5.1720 Å, c = 9.4277 Å
α = 90.00°, β = 90.00°, γ = 90.00°
Space group Imm2 (No. 44)
Unique sites:
Sr (0.0000, 0.0000, 0.0000) x2
Sr (0.0000, 0.5000, 0.2081) x2
Re (0.0000, 0.5000, 0.8057) x2
Pt (0.0000, 0.0000, 0.4124) x2



Material: SbPbCl2
Method: DFT, GGA-PBEsol
State: optimized geometry

Output
For the density of states at the Fermi level, the calculation gives 0.511 states/eV/atom. Its polymorph energy (0 for the lowest one) is 0.76 eV per formula unit. The raw formation energy comes out at -0.2582 eV per atom.

a = 4.5824 Å, b = 4.5824 Å, c = 9.1386 Å
α = 90.00°, β = 90.00°, γ = 90.00°
Space group I4/mmm (No. 139)
Unique sites:
Sb (0.0000, 0.0000, 0.0000) x2
Pb (0.0000, 0.0000, 0.5000) x2
Cl (0.0000, 0.5000, 0.2500) x4